Compound: Sr2Li2InAg5
Source: Alexandria via LeMat-Bulk
Functional: PBE
Structure: optimized geometry

```
Sr2Li2InAg5
1.0
4.041 0.000 0.000
0.000 10.484 0.000
0.000 0.000 10.484
In Ag Sr Li
2 10 4 4
Cartesian
0.000 0.000 0.000
0.000 5.242 5.242
2.020 5.242 0.000
2.020 0.000 5.242
2.020 8.302 9.923
2.020 3.060 5.803
2.020 9.923 2.182
2.020 7.424 4.681
2.020 5.803 7.424
2.020 2.182 0.561
2.020 4.681 3.060
2.020 0.561 8.302
0.000 1.931 3.311
0.000 8.553 7.173
0.000 7.173 1.931
0.000 3.311 8.553
0.000 1.206 6.448
0.000 6.448 9.278
0.000 4.036 1.206
0.000 9.278 4.036
```

Output
E_form (meV/atom): -191
Total energy (eV/cell): -52.2